[1]
UZnCl6: relaxed, PBE.

Structure (CIF):
```
data_UZnCl6
_cell_length_a 6.4209
_cell_length_b 12.5071
_cell_length_c 6.4178
_cell_angle_alpha 90.00
_cell_angle_beta 108.40
_cell_angle_gamma 90.00
_symmetry_space_group_name_H-M 'C 1 2/m 1'
_symmetry_Int_Tables_number 12
_symmetry_space_group_name_Hall '-C 2y'
loop_
_atom_site_label
_atom_site_type_symbol
_atom_site_fract_x
_atom_site_fract_y
_atom_site_fract_z
U1 U 0.0000 0.0000 0.0000
Zn1 Zn 0.0000 0.5000 0.5000
Cl1 Cl 0.2317 0.3612 0.7331
Cl2 Cl 0.2485 0.0000 0.7500
```

Output
- Formation energy from raw total energies: -137.69 kJ per mole of atoms
- E: -4.382 eV/atom

[2]
Pm2DyZn2Ga2: relaxed, PBE.

Structure (CIF):
```
data_Pm2DyZn2Ga2
_cell_length_a 4.4566
_cell_length_b 4.4566
_cell_length_c 28.3805
_cell_angle_alpha 90.00
_cell_angle_beta 90.00
_cell_angle_gamma 120.00
_symmetry_space_group_name_H-M 'R -3 m'
_symmetry_Int_Tables_number 166
_symmetry_space_group_name_Hall '-R 3 2"'
loop_
_atom_site_label
_atom_site_type_symbol
_atom_site_fract_x
_atom_site_fract_y
_atom_site_fract_z
Pm1 Pm 0.0000 0.0000 0.1250
Dy1 Dy 0.0000 0.0000 0.0000
Zn1 Zn 0.0000 0.0000 0.3929
Ga1 Ga 0.0000 0.0000 0.2684
```

Output
- ΔH_f (0 K): -408 meV per atom
- E: -3.651 eV/atom

[3]
SrZrHg2: relaxed, PBE.

Structure (CIF):
```
data_SrZrHg2
_cell_length_a 11.6246
_cell_length_b 3.4123
_cell_length_c 5.5055
_cell_angle_alpha 90.00
_cell_angle_beta 103.99
_cell_angle_gamma 90.00
_symmetry_space_group_name_H-M 'C 1 m 1'
_symmetry_Int_Tables_number 8
_symmetry_space_group_name_Hall 'C -2y'
loop_
_atom_site_label
_atom_site_type_symbol
_atom_site_fract_x
_atom_site_fract_y
_atom_site_fract_z
Sr1 Sr 0.0000 0.0000 0.0000
Zr1 Zr 0.2245 0.0000 0.5973
Hg1 Hg 0.2469 0.5000 0.1216
Hg2 Hg 0.4784 0.0000 0.5030
```

Output
- ΔH_f (0 K): -48 meV per atom
- E: -2.757 eV/atom

[4]
ZnPd3Pt3: relaxed, PBE.

Structure (CIF):
```
data_ZnPd3Pt3
_cell_length_a 7.3274
_cell_length_b 7.3274
_cell_length_c 4.6209
_cell_angle_alpha 90.00
_cell_angle_beta 90.00
_cell_angle_gamma 120.00
_symmetry_space_group_name_H-M 'P 63/m'
_symmetry_Int_Tables_number 176
_symmetry_space_group_name_Hall '-P 6c'
loop_
_atom_site_label
_atom_site_type_symbol
_atom_site_fract_x
_atom_site_fract_y
_atom_site_fract_z
Zn1 Zn 0.3333 0.6667 0.2500
Pd1 Pd 0.0909 0.4731 0.7500
Pt1 Pt 0.0471 0.2402 0.2500
```

Output
- ΔH_f (0 K): -171 meV per atom
- Polymorph energy (0 for the lowest one): 0.000 eV per formula unit
- E: -5.167 eV/atom

[5]
RbAlSe2: relaxed, PBE.

Structure (CIF):
```
data_RbAlSe2
_cell_length_a 7.6746
_cell_length_b 6.0033
_cell_length_c 7.6801
_cell_angle_alpha 90.00
_cell_angle_beta 90.26
_cell_angle_gamma 90.00
_symmetry_space_group_name_H-M 'P 1 2/m 1'
_symmetry_Int_Tables_number 10
_symmetry_space_group_name_Hall '-P 2y'
loop_
_atom_site_label
_atom_site_type_symbol
_atom_site_fract_x
_atom_site_fract_y
_atom_site_fract_z
Rb1 Rb 0.0000 0.0000 0.0000
Rb2 Rb 0.5000 0.5000 0.5000
Al1 Al 0.0000 0.2500 0.5000
Se1 Se 0.1032 0.5000 0.7241
Se2 Se 0.2235 0.0000 0.3977
```

Output
- Formation energy from raw total energies: -110.42 kJ per mole of atoms
- E: -4.064 eV/atom

[6]
V2BMo2: relaxed, PBE.

Structure (CIF):
```
data_V2BMo2
_cell_length_a 5.6548
_cell_length_b 5.6548
_cell_length_c 4.2053
_cell_angle_alpha 90.00
_cell_angle_beta 90.00
_cell_angle_gamma 90.00
_symmetry_space_group_name_H-M 'P 4/m b m'
_symmetry_Int_Tables_number 127
_symmetry_space_group_name_Hall '-P 4 2ab'
loop_
_atom_site_label
_atom_site_type_symbol
_atom_site_fract_x
_atom_site_fract_y
_atom_site_fract_z
V1 V 0.1556 0.3444 0.0000
B1 B 0.0000 0.0000 0.0000
Mo1 Mo 0.1802 0.6802 0.5000
```

Output
- ΔH_f (0 K): 329 meV per atom
- Polymorph energy (0 for the lowest one): 0.000 eV per formula unit
- E: -8.986 eV/atom

[7]
CsIn2Sn2Cl7: relaxed, PBE.

Structure (CIF):
```
data_CsIn2Sn2Cl7
_cell_length_a 5.6000
_cell_length_b 24.2572
_cell_length_c 6.3197
_cell_angle_alpha 90.00
_cell_angle_beta 90.00
_cell_angle_gamma 90.00
_symmetry_space_group_name_H-M 'I m m 2'
_symmetry_Int_Tables_number 44
_symmetry_space_group_name_Hall 'I 2 -2'
loop_
_atom_site_label
_atom_site_type_symbol
_atom_site_fract_x
_atom_site_fract_y
_atom_site_fract_z
Cs1 Cs 0.0000 0.0000 0.0000
In1 In 0.0000 0.2869 0.4306
Sn1 Sn 0.0000 0.3893 0.0166
Cl1 Cl 0.0000 0.1078 0.5291
Cl2 Cl 0.0000 0.2688 0.8857
Cl3 Cl 0.0000 0.4094 0.6187
Cl4 Cl 0.0000 0.5000 0.1082
```

Output
- Formation energy from raw total energies: -107.36 kJ per mole of atoms
- E: -3.385 eV/atom

[8]
YScGeAu: relaxed, PBE.

Structure (CIF):
```
data_YScGeAu
_cell_length_a 7.0021
_cell_length_b 7.0021
_cell_length_c 7.0021
_cell_angle_alpha 90.00
_cell_angle_beta 90.00
_cell_angle_gamma 90.00
_symmetry_space_group_name_H-M 'F -4 3 m'
_symmetry_Int_Tables_number 216
_symmetry_space_group_name_Hall 'F -4 2 3'
loop_
_atom_site_label
_atom_site_type_symbol
_atom_site_fract_x
_atom_site_fract_y
_atom_site_fract_z
Y1 Y 0.0000 0.0000 0.0000
Sc1 Sc 0.0000 0.0000 0.5000
Ge1 Ge 0.2500 0.2500 0.2500
Au1 Au 0.2500 0.2500 0.7500
```

Output
- ΔH_f (0 K): -729 meV per atom
- E: -5.901 eV/atom

- Which of these has the lowest E?
  V2BMo2

- Look up the E of the eighth one.
  -5.901 eV/atom

- Among the records above, which one has the lowest E?
  V2BMo2

- Which value of E does entry 1 give?
  -4.382 eV/atom